Material: BeReRh
Method: DFT, GGA-PBE
State: optimized geometry

```
data_BeReRh
_chemical_formula_sum 'Be2 Re2 Rh2'
_symmetry_space_group_name_H-M 'P 1'
_symmetry_Int_Tables_number 1
_cell_length_a 2.7605
_cell_length_b 2.7605
_cell_length_c 9.6395
_cell_angle_alpha 90.00
_cell_angle_beta 90.00
_cell_angle_gamma 90.00
loop_
_symmetry_equiv_pos_as_xyz
'x,y,z'
loop_
_atom_site_label
_atom_site_type_symbol
_atom_site_fract_x
_atom_site_fract_y
_atom_site_fract_z
Be1 Be 0.0000 0.0000 0.0000
Be2 Be 0.5000 0.5000 0.5000
Re1 Re 0.0000 0.0000 0.6639
Re2 Re 0.5000 0.5000 0.1639
Rh1 Rh 0.0000 0.0000 0.3567
Rh2 Rh 0.5000 0.5000 0.8567
```

**ΔE_f**: -0.244 eV per atom
**Distance to the lowest polymorph of the same formula**: 0.035 eV per atom
**Calculated density**: 13.48 g/cm³
**V**: 73.5 Å³ per cell
**D(E_F)**: 0.803 states/eV per atom
**Space-group type**: No. 107



Material: Be2HgAs
Method: DFT, GGA-PBE
State: optimized geometry

```
data_Be2HgAs
_chemical_formula_sum 'Be4 Hg2 As2'
_symmetry_space_group_name_H-M 'P 1'
_symmetry_Int_Tables_number 1
_cell_length_a 6.2184
_cell_length_b 7.0138
_cell_length_c 2.8052
_cell_angle_alpha 90.00
_cell_angle_beta 90.00
_cell_angle_gamma 90.00
loop_
_symmetry_equiv_pos_as_xyz
'x,y,z'
loop_
_atom_site_label
_atom_site_type_symbol
_atom_site_fract_x
_atom_site_fract_y
_atom_site_fract_z
Be1 Be 0.2500 0.2500 0.0000
Be2 Be 0.2500 0.7500 0.0000
Be3 Be 0.7500 0.2500 0.0000
Be4 Be 0.7500 0.7500 0.0000
Hg1 Hg 0.0000 0.0000 0.5000
Hg2 Hg 0.5000 0.5000 0.5000
As1 As 0.0000 0.5000 0.5000
As2 As 0.5000 0.0000 0.5000
```

**ΔE_f**: 0.588 eV per atom
**Calculated density**: 7.97 g/cm³
**V**: 122.3 Å³ per cell
**D(E_F)**: 0.316 states/eV per atom
**Space-group type**: No. 65